VASP calculation (GGA+U) on a relaxed structure of Ba3Np2VO9.

Computed properties:
**Spin magnetization**: 7.000 μB per formula unit
**Volume**: 15.7 Å³ per atom
**Space group**: P-3m1 (164)
**Final energy**: -126.2 eV for the cell shown

Unit cell a=6.0436 b=6.0436 c=7.4604 alpha=90.00 beta=90.00 gamma=120.00
Last column: nearest neighbours and their distance in Å.
Atoms (fractional coordinates):
O1 0.8375 0.1625 0.6619  1 V 2.09, 1 Np 2.15
O2 0.1625 0.3251 0.3381  1 V 2.09, 1 Np 2.15
Np1 0.3333 0.6667 0.1777  6 O 2.15-2.19
O3 0.3251 0.1625 0.6619  1 V 2.09, 1 Np 2.15
O4 0.8375 0.6749 0.6619  1 V 2.09, 1 Np 2.15
O5 0.0000 0.5000 0.0000  2 Np 2.19
Ba1 0.3333 0.6667 0.6569  12 O 2.98-3.10
Ba2 0.0000 0.0000 0.0000  12 O 3.02-3.04
O6 0.6749 0.8375 0.3381  1 V 2.09, 1 Np 2.15
O7 0.1625 0.8375 0.3381  1 V 2.09, 1 Np 2.15
Ba3 0.6667 0.3333 0.3431  12 O 2.98-3.10
O8 0.5000 0.0000 0.0000  2 Np 2.19
Np2 0.6667 0.3333 0.8223  6 O 2.15-2.19
V1 0.0000 0.0000 0.5000  6 O 2.09
O9 0.5000 0.5000 0.0000  2 Np 2.19